A geometry-optimized Pr5Sm3Cd2 structure. Source: Alexandria via LeMat-Bulk, functional PBE-GGA.

- ΔH_f (0 K): -0.072 eV per atom

a = 6.684 Å, b = 10.119 Å, c = 10.119 Å
α = 106.91°, β = 89.07°, γ = 89.07°
Fractional coordinates of all 20 atoms:
Pr1 0.250 0.466 0.534
Pr2 0.750 0.534 0.466
Pr3 0.463 0.696 0.802
Pr4 0.037 0.198 0.304
Pr5 0.537 0.304 0.198
Pr6 0.963 0.802 0.696
Pr7 0.099 0.507 0.191
Pr8 0.901 0.493 0.809
Pr9 0.599 0.191 0.507
Pr10 0.401 0.809 0.493
Sm1 0.250 0.039 0.961
Sm2 0.750 0.961 0.039
Sm3 0.415 0.356 0.871
Sm4 0.585 0.644 0.129
Sm5 0.915 0.871 0.356
Sm6 0.085 0.129 0.644
Cd1 0.113 0.751 0.042
Cd2 0.887 0.249 0.958
Cd3 0.613 0.042 0.751
Cd4 0.387 0.958 0.249